First-principles (GGA+U) data for a relaxed structure of Mn3O4F2, as listed in Alexandria.

POSCAR file:
```
Mn3O4F2
1.0
-4.4106 -0.0234 1.2553
-1.4939 -1.1552 -5.2704
0.3719 -7.5870 1.1654
Mn O F
6 8 4
Direct
0.5286 0.5679 0.6571 Mn
0.4955 0.2316 0.0027 Mn
0.4881 0.9124 0.3196 Mn
0.9955 0.7684 0.9973 Mn
0.0286 0.4321 0.3429 Mn
0.9881 0.0876 0.6804 Mn
0.1986 0.7257 0.2192 O
0.1942 0.0429 0.8967 O
0.1903 0.3775 0.5739 O
0.3065 0.2117 0.2321 O
0.6942 0.9571 0.1033 O
0.6903 0.6225 0.4261 O
0.6986 0.2743 0.7808 O
0.8065 0.7883 0.7679 O
0.2859 0.8887 0.5590 F
0.3124 0.5405 0.8996 F
0.8124 0.4595 0.1004 F
0.7859 0.1113 0.4410 F
```

* energy above the lowest structure with this stoichiometry: 21 meV per atom
* theoretical density: 4.50 Mg/m³
* SG: P2_1, No. 4

=====

First-principles (GGA+U) data for a relaxed structure of Mn3OF5, as listed in Alexandria.

POSCAR file:
```
Mn3OF5
1.0
-3.6469 -4.0929 -2.0248
2.9950 -3.7625 -3.3744
1.1483 -6.4233 4.1203
Mn O F
6 2 10
Direct
0.0000 0.0000 0.0000 Mn
0.3708 0.3027 0.1610 Mn
0.0000 0.0000 0.5000 Mn
0.3249 0.3207 0.6747 Mn
0.6751 0.6793 0.3253 Mn
0.6292 0.6973 0.8390 Mn
0.6724 0.0158 0.1585 O
0.3276 0.9842 0.8415 O
0.0587 0.6202 0.1616 F
0.6983 0.3175 0.4944 F
0.7570 0.7741 0.5408 F
0.1099 0.0909 0.1983 F
0.4306 0.4361 0.8662 F
0.5694 0.5639 0.1338 F
0.8901 0.9091 0.8017 F
0.2430 0.2259 0.4592 F
0.3017 0.6825 0.5056 F
0.9413 0.3798 0.8384 F
```

* energy above the lowest structure with this stoichiometry: 16 meV per atom
* theoretical density: 3.95 Mg/m³
* SG: P-1, No. 2

=====

First-principles (GGA+U) data for a relaxed structure of Mn2OF3, as listed in Alexandria.

POSCAR file:
```
Mn2OF3
1.0
3.3695 -3.5490 0.0000
3.3695 3.5490 0.0000
0.0000 0.0000 15.7891
Mn O F
10 5 15
Direct
0.0329 0.0329 0.3014 Mn
0.9585 0.9585 0.1032 Mn
0.9585 0.9585 0.8968 Mn
0.0368 0.0368 0.5000 Mn
0.0329 0.0329 0.6986 Mn
0.5037 0.5037 0.4016 Mn
0.4969 0.4969 0.0000 Mn
0.4985 0.4985 0.2043 Mn
0.4985 0.4985 0.7957 Mn
0.5037 0.5037 0.5984 Mn
0.3367 0.3367 0.3053 O
0.3324 0.3324 0.5000 O
0.3367 0.3367 0.6947 O
0.6725 0.6725 0.8892 O
0.6725 0.6725 0.1108 O
0.1968 0.7821 0.7988 F
0.1535 0.7746 0.0000 F
0.1968 0.7821 0.2012 F
0.2177 0.8224 0.4027 F
0.2177 0.8224 0.5973 F
0.2662 0.2662 0.8939 F
0.2662 0.2662 0.1061 F
0.7110 0.7110 0.3101 F
0.7074 0.7074 0.5000 F
0.7110 0.7110 0.6899 F
0.7746 0.1535 0.0000 F
0.7821 0.1968 0.2012 F
0.8224 0.2177 0.4027 F
0.7821 0.1968 0.7988 F
0.8224 0.2177 0.5973 F
```

* energy above the lowest structure with this stoichiometry: 46 meV per atom
* theoretical density: 4.02 Mg/m³
* SG: Amm2, No. 38

=====

First-principles (GGA+U) data for a relaxed structure of Mn2OF3, as listed in Alexandria.

POSCAR file:
```
Mn2OF3
1.0
-7.4362 0.0380 0.7998
4.3676 -4.3809 -4.2037
0.5507 -4.5731 5.3380
Mn O F
8 4 12
Direct
0.6250 0.8752 0.7500 Mn
0.1248 0.3750 0.7500 Mn
0.1260 0.8740 0.7500 Mn
0.3772 0.6228 0.2500 Mn
0.6228 0.3772 0.7500 Mn
0.8740 0.1260 0.2500 Mn
0.3750 0.1248 0.2500 Mn
0.8752 0.6250 0.2500 Mn
0.4627 0.5373 0.7500 O
0.7867 0.2133 0.7500 O
0.5373 0.4627 0.2500 O
0.2133 0.7867 0.2500 O
0.9756 0.0244 0.7500 F
0.6255 0.8750 0.0473 F
0.1250 0.3745 0.0473 F
0.8750 0.6255 0.9527 F
0.6255 0.8750 0.4527 F
0.1250 0.3745 0.4527 F
0.3745 0.1250 0.9527 F
0.0244 0.9756 0.2500 F
0.2752 0.7248 0.7500 F
0.7248 0.2752 0.2500 F
0.8750 0.6255 0.5473 F
0.3745 0.1250 0.5473 F
```

* energy above the lowest structure with this stoichiometry: 38 meV per atom
* theoretical density: 4.02 Mg/m³
* SG: Cmcm, No. 63

=====

First-principles (GGA+U) data for a relaxed structure of Mn3OF, as listed in Alexandria.

POSCAR file:
```
Mn3OF
1.0
-1.4005 3.6736 1.9041
-2.3763 -2.3598 2.8049
3.3874 -0.1365 2.7549
Mn O F
3 1 1
Direct
0.0000 0.5000 0.0000 Mn
0.0000 0.0000 0.5000 Mn
0.5000 0.0000 0.0000 Mn
0.0000 0.0000 0.0000 O
0.5000 0.5000 0.5000 F
```

* energy above the lowest structure with this stoichiometry: 0 meV per atom
* theoretical density: 3.98 Mg/m³
* SG: Pm-3m, No. 221

=====

First-principles (GGA+U) data for a relaxed structure of Mn6O5F7, as listed in Alexandria.

POSCAR file:
```
Mn6O5F7
1.0
-2.0670 4.1212 3.4096
-4.1378 -1.8882 3.4922
2.6323 -0.8051 7.4170
Mn O F
6 5 7
Direct
0.3384 0.6616 0.0000 Mn
0.0031 0.3259 0.8345 Mn
0.3090 0.6910 0.5000 Mn
0.0153 0.3367 0.3243 Mn
0.6633 0.9847 0.6757 Mn
0.6741 0.9969 0.1655 Mn
0.3048 0.0219 0.8364 O
0.0151 0.9849 0.5000 O
0.6989 0.6260 0.8371 O
0.3740 0.3011 0.1629 O
0.9781 0.6952 0.1636 O
0.6262 0.3738 0.5000 F
0.5601 0.9002 0.4617 F
0.2286 0.5594 0.7877 F
0.8968 0.2260 0.1299 F
0.7740 0.1032 0.8701 F
0.4406 0.7714 0.2123 F
0.0998 0.4399 0.5383 F
```

* energy above the lowest structure with this stoichiometry: 0 meV per atom
* theoretical density: 4.18 Mg/m³
* SG: C2, No. 5